No. 1
Here is crystalline MgTcIN2 at its relaxed geometry from Alexandria. Energies are from PBE-GGA.

Cell lengths 3.964, 3.964, 5.437 Å; angles 90.00, 90.00, 90.00 degrees
Atoms (fractional coordinates):
1 Mg 0.000 0.000 0.000
2 Tc 0.500 0.500 0.500
3 I 0.000 0.000 0.500
4 N 0.000 0.500 0.000
5 N 0.500 0.000 0.000

**E_form (uncorrected)**: 9.5 eV/f.u.
**DOS at the Fermi energy**: 1.54 states/eV/atom
**Space-group type**: P4/mmm
**V**: 85.4 Å³ per cell


No. 2
Here is crystalline MgTeIN2 at its relaxed geometry from Alexandria. Energies are from PBE-GGA.

Cell lengths 4.048, 4.048, 7.181 Å; angles 90.00, 90.00, 90.00 degrees
Atoms (fractional coordinates):
1 Mg 0.000 0.000 0.000
2 Te 0.500 0.500 0.000
3 I 0.500 0.500 0.500
4 N 0.000 0.500 0.500
5 N 0.500 0.000 0.500

**E_form (uncorrected)**: 7.1 eV/f.u.
**DOS at the Fermi energy**: 0.55 states/eV/atom
**Space-group type**: P4/mmm
**V**: 117.7 Å³ per cell


No. 3
Here is crystalline MgTeIN2 at its relaxed geometry from Alexandria. Energies are from PBE-GGA.

Cell lengths 4.398, 4.398, 6.275 Å; angles 90.00, 90.00, 90.00 degrees
Atoms (fractional coordinates):
1 Mg 0.000 0.000 0.000
2 Te 0.000 0.000 0.500
3 I 0.500 0.500 0.500
4 N 0.000 0.500 0.000
5 N 0.500 0.000 0.000

**E_form (uncorrected)**: 6.2 eV/f.u.
**DOS at the Fermi energy**: 0.49 states/eV/atom
**Space-group type**: P4/mmm
**V**: 121.4 Å³ per cell


No. 4
Here is crystalline MgTeI2N at its relaxed geometry from Alexandria. Energies are from PBE-GGA.

Cell lengths 6.297, 6.297, 4.013 Å; angles 90.00, 90.00, 90.00 degrees
Atoms (fractional coordinates):
1 Mg 0.000 0.000 0.000
2 Te 0.500 0.500 0.500
3 I 0.000 0.500 0.500
4 I 0.500 0.000 0.500
5 N 0.500 0.500 0.000

**E_form (uncorrected)**: 2.7 eV/f.u.
**DOS at the Fermi energy**: 0.54 states/eV/atom
**Space-group type**: P4/mmm
**V**: 159.1 Å³ per cell